1.
VASP calculation (PBE) on Tl3GePt after structural relaxation.

Values from the calculation:
Total DFT energy (no corrections) ... -14.24 eV/cell
Spin magnetization ... 0.00 μB/cell
Formation enthalpy at 0 K ... 0.70 eV/atom
Space-group type ... Pm-3m (221)
Energy above the most stable polymorph in this dataset ... 0.3861 eV/atom
D(E_F) ... 2.841 states/eV per cell
Mass density ... 9466 kg/m3

Geometry as POSCAR:
```
Tl3GePt
1.0
5.366 0.000 0.000
0.000 5.366 0.000
0.000 0.000 5.366
Tl Ge Pt
3 1 1
direct
0.000 0.000 0.500 Tl
0.000 0.500 0.000 Tl
0.500 0.000 0.000 Tl
0.000 0.000 0.000 Ge
0.500 0.500 0.500 Pt
```

---

2.
VASP calculation (PBE) on Ti2Fe2Mo after structural relaxation.

Values from the calculation:
Total DFT energy (no corrections) ... -86.88 eV/cell
Spin magnetization ... 0.00 μB/cell
Formation enthalpy at 0 K ... 0.02 eV/atom
Space-group type ... P4/mbm (127)
Energy above the most stable polymorph in this dataset ... 0.0000 eV/atom
D(E_F) ... 18.450 states/eV per cell
Mass density ... 7274 kg/m3

Geometry as POSCAR:
```
Ti2Fe2Mo
1.0
6.865 0.000 0.000
0.000 6.865 0.000
0.000 0.000 2.939
Ti Fe Mo
4 4 2
direct
0.160 0.340 0.000 Ti
0.340 0.840 0.000 Ti
0.660 0.160 0.000 Ti
0.840 0.660 0.000 Ti
0.136 0.636 0.500 Fe
0.364 0.136 0.500 Fe
0.636 0.864 0.500 Fe
0.864 0.364 0.500 Fe
0.000 0.000 0.500 Mo
0.500 0.500 0.500 Mo
```

---

3.
VASP calculation (PBE) on K2DyCd2Te4 after structural relaxation.

Values from the calculation:
Total DFT energy (no corrections) ... -28.97 eV/cell
Spin magnetization ... 0.00 μB/cell
Space-group type ... C2/m (12)
D(E_F) ... 4.585 states/eV per cell
Mass density ... 5177 kg/m3
Formation energy from raw total energies ... -0.8635 eV/atom

Geometry as POSCAR:
```
K2DyCd2Te4
1.0
8.733 -2.229 0.000
8.733 2.229 0.000
-3.633 0.000 8.042
K Dy Cd Te
2 1 2 4
direct
0.126 0.126 0.069 K
0.874 0.874 0.931 K
0.000 0.000 0.500 Dy
0.310 0.310 0.488 Cd
0.690 0.690 0.512 Cd
0.191 0.191 0.730 Te
0.481 0.481 0.732 Te
0.519 0.519 0.268 Te
0.809 0.809 0.270 Te
```